Entry 1:
The following is a DFT calculation (PBE) of crystalline ZrRuSeBr2 at its relaxed geometry.

Values from the calculation:
The symmetry is P4/mmm, No. 123. The value obtained for the formation energy (no corrections) is 0.374 eV/atom. The value obtained for the density of states at the Fermi level is 6.30 states/eV per cell.

Cell and atoms, written as extended XYZ:
```
5
Lattice="4.9210 0.0000 0.0000 0.0000 4.9210 0.0000 0.0000 0.0000 4.9457" Properties=species:S:1:pos:R:3 pbc="T T T"
Zr 0.0000 0.0000 0.0000
Ru 2.4605 2.4605 2.4729
Se 2.4605 2.4605 0.0000
Br 0.0000 2.4605 2.4729
Br 2.4605 0.0000 2.4729
```


Entry 2:
The following is a DFT calculation (PBE) of crystalline DyIn4Hg at its relaxed geometry.

Values from the calculation:
The calculation puts the calculated formation energy at -0.0576 eV/atom. The symmetry is F-43m, No. 216. The value obtained for the density of states at the Fermi level is 5.30 states/eV per cell.

Cell and atoms, written as extended XYZ:
```
6
Lattice="0.0000 4.3128 4.3128 4.3128 0.0000 4.3128 4.3128 4.3128 0.0000" Properties=species:S:1:pos:R:3 pbc="T T T"
Dy 0.0000 0.0000 0.0000
In 5.3921 3.2335 3.2335
In 3.2335 5.3921 3.2335
In 3.2335 3.2335 5.3921
In 5.3921 5.3921 5.3921
Hg 2.1564 2.1564 2.1564
```


Entry 3:
The following is a DFT calculation (PBE) of crystalline Al4Si6P3 at its relaxed geometry.

Values from the calculation:
The symmetry is P-1, No. 2. The value obtained for the formation energy (no corrections) is 0.141 eV/atom. The value obtained for the density of states at the Fermi level is 3.24 states/eV per cell.

Cell and atoms, written as extended XYZ:
```
13
Lattice="3.5593 0.0000 0.0000 0.0069 4.1727 0.0000 1.7584 0.8852 16.1746" Properties=species:S:1:pos:R:3 pbc="T T T"
Al 0.9058 1.6418 5.8930
Al 2.6305 0.9781 11.5796
Al 2.6941 4.0798 4.5950
Al 4.4187 3.4162 10.2816
Si 0.8977 4.1647 0.7363
Si 2.6472 3.0598 12.8899
Si 2.6627 1.7614 9.1479
Si 2.6619 3.2966 7.0267
Si 2.6774 1.9982 3.2847
Si 4.4269 0.8932 15.4384
P 0.8792 0.4426 8.0873
P 0.8967 2.0659 1.8109
P 4.4279 2.9920 14.3637
```


Entry 4:
The following is a DFT calculation (PBE) of crystalline RbLaInS3 at its relaxed geometry.

Values from the calculation:
The symmetry is P2_1/m, No. 11. The value obtained for the formation energy (no corrections) is -1.286 eV/atom. The value obtained for the density of states at the Fermi level is 2.02 states/eV per cell.

Cell and atoms, written as extended XYZ:
```
12
Lattice="8.9244 0.0000 0.0000 0.0000 4.6692 0.0000 -2.6302 0.0000 9.6330" Properties=species:S:1:pos:R:3 pbc="T T T"
Rb 1.2122 1.1673 2.1334
Rb 5.0821 3.5019 7.4997
La 0.7480 3.5019 8.2554
La 5.5462 1.1673 1.3777
In -0.5416 1.1673 5.6859
In 6.8359 3.5019 3.9471
S -1.1623 1.1673 8.1691
S 0.4852 3.5019 5.2000
S 3.7523 3.5019 1.3922
S 2.5420 1.1673 8.2409
S 5.8091 1.1673 4.4331
S 7.4566 3.5019 1.4639
```


Entry 5:
The following is a DFT calculation (PBE) of crystalline YHfSCl2 at its relaxed geometry.

Values from the calculation:
The symmetry is P4/mmm, No. 123. The value obtained for the formation energy (no corrections) is -0.537 eV/atom. The value obtained for the density of states at the Fermi level is 6.39 states/eV per cell.

Cell and atoms, written as extended XYZ:
```
5
Lattice="5.1594 0.0000 0.0000 0.0000 5.1594 0.0000 0.0000 0.0000 5.3613" Properties=species:S:1:pos:R:3 pbc="T T T"
Y 0.0000 0.0000 0.0000
Hf 2.5797 2.5797 2.6806
S 0.0000 0.0000 2.6806
Cl 0.0000 2.5797 0.0000
Cl 2.5797 0.0000 0.0000
```


Entry 6:
The following is a DFT calculation (PBE) of crystalline ZrSnTe2I at its relaxed geometry.

Values from the calculation:
The symmetry is P4/mmm, No. 123. The value obtained for the formation energy (no corrections) is 0.581 eV/atom. The value obtained for the density of states at the Fermi level is 5.68 states/eV per cell.

Cell and atoms, written as extended XYZ:
```
5
Lattice="5.6890 0.0000 0.0000 0.0000 5.6890 0.0000 0.0000 0.0000 5.7124" Properties=species:S:1:pos:R:3 pbc="T T T"
Zr 0.0000 0.0000 0.0000
Sn 2.8445 2.8445 2.8562
Te 0.0000 2.8445 2.8562
Te 2.8445 0.0000 2.8562
I 2.8445 2.8445 0.0000
```


Entry 7:
The following is a DFT calculation (PBE) of crystalline RbAuBr4 at its relaxed geometry.

Values from the calculation:
The symmetry is P2_1/c, No. 14. The value obtained for the formation energy (no corrections) is -0.736 eV/atom.

Cell and atoms, written as extended XYZ:
```
12
Lattice="7.6718 0.0000 0.0000 0.0000 6.3630 0.0000 -5.8957 0.0000 9.1952" Properties=species:S:1:pos:R:3 pbc="T T T"
Rb 0.0000 0.0000 0.0000
Rb -2.9479 3.1815 4.5976
Au 0.8880 0.0000 4.5976
Au 3.8359 3.1815 0.0000
Br -1.3149 0.0949 3.4797
Br -4.2628 3.0866 8.0773
Br 1.5965 4.5716 3.0331
Br -1.3513 4.9729 7.6306
Br 3.1274 1.3901 1.5645
Br 0.1795 1.7914 6.1621
Br 6.0388 3.2764 1.1178
Br 3.0910 6.2681 5.7154
```


Entry 8:
The following is a DFT calculation (PBE) of crystalline CaZnTe2N at its relaxed geometry.

Values from the calculation:
The symmetry is P4/mmm, No. 123. The value obtained for the formation energy (no corrections) is 0.823 eV/atom. The value obtained for the density of states at the Fermi level is 6.68 states/eV per cell.

Cell and atoms, written as extended XYZ:
```
5
Lattice="5.8943 0.0000 0.0000 0.0000 5.8943 0.0000 0.0000 0.0000 4.3024" Properties=species:S:1:pos:R:3 pbc="T T T"
Ca 0.0000 0.0000 0.0000
Zn 2.9472 2.9472 2.1512
Te 0.0000 2.9472 0.0000
Te 2.9472 0.0000 0.0000
N 0.0000 0.0000 2.1512
```